A geometry-optimized TbGeTe2AuS structure. Source: OQMD via LeMat-Bulk, functional PBE.

Output
The final energy comes out at -4.41 eV per atom. The space group is Cmcm. Its calculated volume is 25.70 Å³/atom.

Structure (POSCAR):
```
TbGeTe2AuS
1.0
-3.1085 6.9707 -0.7148
1.9998 -5.8291 4.5593
9.0351 4.1693 1.3675
Au Ge S Tb Te
2 2 2 2 4
direct
0.4830 0.5170 0.2500
0.5170 0.4830 0.7500
0.7644 0.2356 0.2500
0.2356 0.7644 0.7500
0.0804 0.9196 0.2500
0.9196 0.0804 0.7500
0.0000 0.0000 0.0000
0.0000 0.0000 0.5000
0.3426 0.6574 0.0587
0.3426 0.6574 0.4413
0.6574 0.3426 0.5587
0.6574 0.3426 0.9413
```